No. 1
First-principles (PBE) data for La2TbPu after structural relaxation, as listed in the Alexandria database.

Unit cell a=3.6044 b=3.6044 c=10.2097 alpha=90.00 beta=90.00 gamma=90.00
Fractional positions:
La  0.0000  0.0000  0.2428
La  0.0000  0.0000  0.7572
Tb  0.5000  0.5000  0.5000
Pu  0.5000  0.5000  0.0000

Properties
Energy above the lowest structure with this stoichiometry   0.000 eV per formula unit
Symmetry   P4/mmm, No. 123

No. 2
First-principles (PBE) data for LaTb2Pu after structural relaxation, as listed in the Alexandria database.

Unit cell a=4.9844 b=4.9844 c=5.1205 alpha=90.00 beta=90.00 gamma=90.00
Fractional positions:
La  0.0000  0.0000  0.0000
Tb  0.0000  0.5000  0.5000
Tb  0.5000  0.0000  0.5000
Pu  0.5000  0.5000  0.0000

Properties
Energy above the lowest structure with this stoichiometry   0.153 eV per formula unit
Symmetry   P4/mmm, No. 123

No. 3
First-principles (PBE) data for La12Tb5Pu after structural relaxation, as listed in the Alexandria database.

Unit cell a=10.9972 b=10.9972 c=6.3723 alpha=106.74 beta=106.74 gamma=59.52
Fractional positions:
La  0.0024  0.6697  0.1713
La  0.1640  0.5013  0.6686
La  0.1654  0.8346  0.0000
La  0.3247  0.6753  0.5000
La  0.3303  0.9976  0.8287
La  0.4987  0.8360  0.3314
La  0.5013  0.1640  0.6686
La  0.6697  0.0024  0.1713
La  0.6753  0.3247  0.5000
La  0.8346  0.1654  0.0000
La  0.8360  0.4987  0.3314
La  0.9976  0.3303  0.8287
Tb  0.1651  0.1651  0.3357
Tb  0.3332  0.3332  0.1697
Tb  0.5000  0.5000  0.0000
Tb  0.6668  0.6668  0.8303
Tb  0.8349  0.8349  0.6643
Pu  0.0000  0.0000  0.5000

Properties
Symmetry   C2/m, No. 12

No. 4
First-principles (PBE) data for La10Tb4Pu after structural relaxation, as listed in the Alexandria database.

Unit cell a=8.8918 b=8.8918 c=8.8918 alpha=111.37 beta=111.37 gamma=105.73
Fractional positions:
La  0.0526  0.3909  0.1127
La  0.0601  0.9474  0.3383
La  0.2500  0.7500  0.5000
La  0.2782  0.9399  0.8873
La  0.3909  0.2782  0.3383
La  0.6091  0.7218  0.6617
La  0.7218  0.0601  0.1127
La  0.7500  0.2500  0.5000
La  0.9399  0.0526  0.6617
La  0.9474  0.6091  0.8873
Tb  0.2327  0.4473  0.6800
Tb  0.4473  0.7673  0.2146
Tb  0.5527  0.2327  0.7854
Tb  0.7673  0.5527  0.3200
Pu  0.0000  0.0000  0.0000

Properties
Symmetry   I4/m, No. 87

No. 5
First-principles (PBE) data for La6Tb2Pu after structural relaxation, as listed in the Alexandria database.

Unit cell a=8.4698 b=8.4698 c=9.4381 alpha=93.62 beta=93.62 gamma=63.32
Fractional positions:
La  0.0565  0.7823  0.8811
La  0.1060  0.6335  0.4780
La  0.2177  0.9435  0.6189
La  0.3325  0.4664  0.1517
La  0.3665  0.8940  0.0220
La  0.4664  0.3325  0.6517
La  0.5336  0.6675  0.3483
La  0.6335  0.1060  0.9780
La  0.6675  0.5336  0.8483
La  0.7823  0.0565  0.3811
La  0.8940  0.3665  0.5220
La  0.9435  0.2177  0.1189
Tb  0.1317  0.3226  0.8403
Tb  0.3226  0.1317  0.3403
Tb  0.6774  0.8683  0.6597
Tb  0.8683  0.6774  0.1597
Pu  0.1179  0.8821  0.2500
Pu  0.8821  0.1179  0.7500

Properties
Symmetry   C2/c, No. 15

No. 6
First-principles (PBE) data for La2Tb12Pu after structural relaxation, as listed in the Alexandria database.

Unit cell a=6.4762 b=6.4762 c=24.6235 alpha=90.00 beta=90.00 gamma=90.00
Fractional positions:
La  0.2500  0.7500  0.2348
La  0.2500  0.7500  0.7652
La  0.7500  0.2500  0.2348
La  0.7500  0.2500  0.7652
Tb  0.0621  0.5621  0.3930
Tb  0.0621  0.9379  0.6070
Tb  0.0815  0.5815  0.9383
Tb  0.0815  0.9185  0.0617
Tb  0.2500  0.2500  0.1630
Tb  0.2500  0.2500  0.2907
Tb  0.2500  0.2500  0.7093
Tb  0.2500  0.2500  0.8370
Tb  0.4185  0.5815  0.0617
Tb  0.4185  0.9185  0.9383
Tb  0.4379  0.5621  0.6070
Tb  0.4379  0.9379  0.3930
Tb  0.5621  0.0621  0.6070
Tb  0.5621  0.4379  0.3930
Tb  0.5815  0.0815  0.0617
Tb  0.5815  0.4185  0.9383
Tb  0.7500  0.7500  0.1630
Tb  0.7500  0.7500  0.2907
Tb  0.7500  0.7500  0.7093
Tb  0.7500  0.7500  0.8370
Tb  0.9185  0.0815  0.9383
Tb  0.9185  0.4185  0.0617
Tb  0.9379  0.0621  0.3930
Tb  0.9379  0.4379  0.6070
Pu  0.2500  0.7500  0.5000
Pu  0.7500  0.2500  0.5000

Properties
Symmetry   P4/nbm, No. 125

No. 7
First-principles (PBE) data for LaTb2Pu after structural relaxation, as listed in the Alexandria database.

Unit cell a=3.5572 b=3.5572 c=10.1193 alpha=90.00 beta=90.00 gamma=90.00
Fractional positions:
La  0.0000  0.0000  0.0000
Tb  0.5000  0.5000  0.2644
Tb  0.5000  0.5000  0.7356
Pu  0.0000  0.0000  0.5000

Properties
Energy above the lowest structure with this stoichiometry   0.000 eV per formula unit
Symmetry   P4/mmm, No. 123

No. 8
First-principles (PBE) data for LaTbPu2 after structural relaxation, as listed in the Alexandria database.

Unit cell a=3.4655 b=3.4655 c=10.0212 alpha=90.00 beta=90.00 gamma=90.00
Fractional positions:
La  0.0000  0.0000  0.0000
Tb  0.0000  0.0000  0.5000
Pu  0.5000  0.5000  0.2532
Pu  0.5000  0.5000  0.7468

Properties
Energy above the lowest structure with this stoichiometry   0.000 eV per formula unit
Symmetry   P4/mmm, No. 123

no.,calculated formation energy (meV per atom)
1,111
2,150
3,40
4,329
5,355
6,528
7,112
8,203